# 1
This record from Alexandria describes crystalline NiAgH2 at its relaxed geometry. The functional is PBE-GGA.

space-group type = No. 160
DOS(E_F) = 0.43 states/eV/f.u.
ΔE to the lowest computed polymorph = 24 meV per atom
magnetization = 0.000 μB/cell
E = -3.726 eV/atom

Cell: 2.7865 2.7865 5.4780 Å, 75.27 75.27 60.00°
Last column: nearest neighbours and their distance in Å.
Positions (direct):
Ag (0.4956, 0.4956, 0.5132)  6 H 2.47-2.60, 1 Ni 2.73
H (0.0426, 0.0426, 0.8722)  3 Ni 1.73
H (0.2922, 0.2922, 0.1233)  3 Ni 1.75
Ni (0.6695, 0.6695, 0.9914)  6 H 1.73-1.75

=====

# 2
This record from Alexandria describes crystalline NiAg2H at its relaxed geometry. The functional is PBE-GGA.

space-group type = No. 122
DOS(E_F) = 2.81 states/eV/f.u.
ΔE to the lowest computed polymorph = 0 meV per atom
magnetization = 0.000 μB/cell
E = -3.254 eV/atom

Cell: 6.2520 6.2520 5.1495 Å, 52.62 52.62 90.00°
Last column: nearest neighbours and their distance in Å.
Positions (direct):
Ni (0.7500, 0.2500, 0.5000)  2 H 2.64, 8 Ag 2.71-2.72
Ni (0.0000, 0.0000, 0.0000)  2 H 2.64, 8 Ag 2.71-2.72
Ag (0.3750, 0.4657, 0.7500)  2 H 1.97
Ag (0.8750, 0.7843, 0.7500)  2 H 1.97
Ag (0.5343, 0.1250, 0.2500)  2 H 1.97
Ag (0.2157, 0.6250, 0.2500)  2 H 1.97
H (0.2500, 0.7500, 0.5000)  4 Ag 1.97
H (0.5000, 0.5000, 0.0000)  4 Ag 1.97

=====

# 3
This record from Alexandria describes crystalline NiAgH2 at its relaxed geometry. The functional is PBE-GGA.

space-group type = No. 166
DOS(E_F) = 0.47 states/eV/f.u.
ΔE to the lowest computed polymorph = 0 meV per atom
magnetization = 0.000 μB/cell
E = -3.750 eV/atom

Cell: 2.8274 2.8274 5.3718 Å, 74.74 74.74 60.00°
Last column: nearest neighbours and their distance in Å.
Positions (direct):
Ni (0.5000, 0.5000, 0.5000)  6 H 1.74
H (0.8729, 0.8729, 0.3813)  3 Ni 1.74
H (0.1271, 0.1271, 0.6187)  3 Ni 1.74
Ag (0.0000, 0.0000, 0.0000)  2 H 1.95